Entry 1:
Here is a geometry-optimized TlZn2Rh structure from the Alexandria database. Energies are from PBE-GGA.

```
data_TlZn2Rh
_chemical_formula_sum 'Tl2 Zn4 Rh2'
_cell_length_a 3.9322
_cell_length_b 3.9322
_cell_length_c 8.6241
_cell_angle_alpha 90.00
_cell_angle_beta 90.00
_cell_angle_gamma 90.00
_symmetry_space_group_name_H-M 'I 4/m m m'
_symmetry_Int_Tables_number 139
_symmetry_space_group_name_Hall '-I 4 2'
loop_
_atom_site_label
_atom_site_fract_x
_atom_site_fract_y
_atom_site_fract_z
_atom_site_occupancy
Tl1 0.0000 0.0000 0.0000 1
Zn1 0.0000 0.5000 0.2500 1
Rh1 0.0000 0.0000 0.5000 1
```

- Total magnetization: 0.0 Bohr magnetons per cell
- ΔH_f (0 K): -16 meV per atom
- DFT total energy: -3.08 eV per atom

Entry 2:
Here is a geometry-optimized TlZn2Rh structure from the Alexandria database. Energies are from PBE-GGA.

```
data_TlZn2Rh
_chemical_formula_sum 'Tl2 Zn4 Rh2'
_cell_length_a 3.9406
_cell_length_b 3.9406
_cell_length_c 8.5001
_cell_angle_alpha 90.00
_cell_angle_beta 90.00
_cell_angle_gamma 90.00
_symmetry_space_group_name_H-M 'I -4 m 2'
_symmetry_Int_Tables_number 119
_symmetry_space_group_name_Hall 'I -4 -2'
loop_
_atom_site_label
_atom_site_fract_x
_atom_site_fract_y
_atom_site_fract_z
_atom_site_occupancy
Tl1 0.0000 0.0000 0.0000 1
Zn1 0.0000 0.0000 0.5000 1
Zn2 0.0000 0.5000 0.7500 1
Rh1 0.0000 0.5000 0.2500 1
```

- Total magnetization: 0.0 Bohr magnetons per cell
- ΔH_f (0 K): -25 meV per atom
- DFT total energy: -3.09 eV per atom

Entry 3:
Here is a geometry-optimized TlZnRh structure from the Alexandria database. Energies are from PBE-GGA.

```
data_TlZnRh
_chemical_formula_sum 'Tl1 Zn1 Rh1'
_cell_length_a 4.3900
_cell_length_b 4.3900
_cell_length_c 3.2060
_cell_angle_alpha 90.00
_cell_angle_beta 90.00
_cell_angle_gamma 120.00
_symmetry_space_group_name_H-M 'P 3 m 1'
_symmetry_Int_Tables_number 156
loop_
_symmetry_equiv_pos_as_xyz
'x,y,z'
'-y,x-y,z'
'-x+y,-x,z'
'-y,-x,z'
'-x+y,y,z'
'x,x-y,z'
loop_
_atom_site_label
_atom_site_fract_x
_atom_site_fract_y
_atom_site_fract_z
_atom_site_occupancy
Tl1 0.0000 0.0000 0.0000 1
Zn1 0.3333 0.6667 0.4926 1
Rh1 0.6667 0.3333 0.5052 1
```

- Total magnetization: 0.0 Bohr magnetons per cell
- ΔH_f (0 K): 51 meV per atom
- DFT total energy: -3.61 eV per atom

Entry 4:
Here is a geometry-optimized TlZn2Rh structure from the Alexandria database. Energies are from PBE-GGA.

```
data_TlZn2Rh
_chemical_formula_sum 'Tl1 Zn2 Rh1'
_cell_length_a 4.0995
_cell_length_b 4.0995
_cell_length_c 3.9335
_cell_angle_alpha 90.00
_cell_angle_beta 90.00
_cell_angle_gamma 90.00
_symmetry_space_group_name_H-M 'P 4/m m m'
_symmetry_Int_Tables_number 123
_symmetry_space_group_name_Hall '-P 4 2'
loop_
_atom_site_label
_atom_site_fract_x
_atom_site_fract_y
_atom_site_fract_z
_atom_site_occupancy
Tl1 0.0000 0.0000 0.0000 1
Zn1 0.0000 0.5000 0.5000 1
Rh1 0.5000 0.5000 0.0000 1
```

- Total magnetization: 0.0 Bohr magnetons per cell
- ΔH_f (0 K): 42 meV per atom
- DFT total energy: -3.02 eV per atom

Entry 5:
Here is a geometry-optimized TlZn2Rh structure from the Alexandria database. Energies are from PBE-GGA.

```
data_TlZn2Rh
_chemical_formula_sum 'Tl3 Zn6 Rh3'
_cell_length_a 3.1311
_cell_length_b 3.1311
_cell_length_c 25.4151
_cell_angle_alpha 90.00
_cell_angle_beta 90.00
_cell_angle_gamma 120.00
_symmetry_space_group_name_H-M 'R 3 m'
_symmetry_Int_Tables_number 160
_symmetry_space_group_name_Hall 'R 3 -2"'
loop_
_atom_site_label
_atom_site_fract_x
_atom_site_fract_y
_atom_site_fract_z
_atom_site_occupancy
Tl1 0.0000 0.0000 0.0000 1
Zn1 0.0000 0.0000 0.5070 1
Zn2 0.0000 0.0000 0.7620 1
Rh1 0.0000 0.0000 0.2461 1
```

- Total magnetization: 0.0 Bohr magnetons per cell
- ΔH_f (0 K): 126 meV per atom
- DFT total energy: -2.94 eV per atom

Entry 6:
Here is a geometry-optimized Tl2Zn2Rh structure from the Alexandria database. Energies are from PBE-GGA.

```
data_Tl2Zn2Rh
_chemical_formula_sum 'Tl4 Zn4 Rh2'
_cell_length_a 6.6175
_cell_length_b 6.6175
_cell_length_c 4.8368
_cell_angle_alpha 90.00
_cell_angle_beta 90.00
_cell_angle_gamma 90.00
_symmetry_space_group_name_H-M 'P 4/m b m'
_symmetry_Int_Tables_number 127
_symmetry_space_group_name_Hall '-P 4 2ab'
loop_
_atom_site_label
_atom_site_fract_x
_atom_site_fract_y
_atom_site_fract_z
_atom_site_occupancy
Tl1 0.1848 0.3152 0.0000 1
Zn1 0.1424 0.6424 0.5000 1
Rh1 0.0000 0.0000 0.5000 1
```

- Total magnetization: 0.0 Bohr magnetons per cell
- ΔH_f (0 K): 196 meV per atom
- DFT total energy: -2.73 eV per atom

Entry 7:
Here is a geometry-optimized TlZn2Rh structure from the Alexandria database. Energies are from PBE-GGA.

```
data_TlZn2Rh
_chemical_formula_sum 'Tl2 Zn4 Rh2'
_cell_length_a 5.5977
_cell_length_b 7.4398
_cell_length_c 3.2541
_cell_angle_alpha 90.00
_cell_angle_beta 90.00
_cell_angle_gamma 90.00
_symmetry_space_group_name_H-M 'C m m m'
_symmetry_Int_Tables_number 65
_symmetry_space_group_name_Hall '-C 2 2'
loop_
_atom_site_label
_atom_site_fract_x
_atom_site_fract_y
_atom_site_fract_z
_atom_site_occupancy
Tl1 0.0000 0.0000 0.0000 1
Zn1 0.2500 0.2500 0.5000 1
Rh1 0.0000 0.5000 0.0000 1
```

- Total magnetization: 0.0 Bohr magnetons per cell
- ΔH_f (0 K): 55 meV per atom
- DFT total energy: -3.01 eV per atom

Entry 8:
Here is a geometry-optimized TlZnRh structure from the Alexandria database. Energies are from PBE-GGA.

```
data_TlZnRh
_chemical_formula_sum 'Tl2 Zn2 Rh2'
_cell_length_a 3.1551
_cell_length_b 3.5128
_cell_length_c 9.6605
_cell_angle_alpha 90.00
_cell_angle_beta 90.00
_cell_angle_gamma 90.00
_symmetry_space_group_name_H-M 'I m m 2'
_symmetry_Int_Tables_number 44
loop_
_symmetry_equiv_pos_as_xyz
'x,y,z'
'-x,-y,z'
'-x,y,z'
'x,-y,z'
'x+1/2,y+1/2,z+1/2'
'-x+1/2,-y+1/2,z+1/2'
'-x+1/2,y+1/2,z+1/2'
'x+1/2,-y+1/2,z+1/2'
loop_
_atom_site_label
_atom_site_fract_x
_atom_site_fract_y
_atom_site_fract_z
_atom_site_occupancy
Tl1 0.0000 0.0000 0.0000 1
Zn1 0.0000 0.0000 0.6991 1
Rh1 0.0000 0.0000 0.3095 1
```

- Total magnetization: 0.0 Bohr magnetons per cell
- ΔH_f (0 K): -12 meV per atom
- DFT total energy: -3.68 eV per atom

Entry 9:
Here is a geometry-optimized Tl2ZnRh2 structure from the Alexandria database. Energies are from PBE-GGA.

```
data_Tl2ZnRh2
_chemical_formula_sum 'Tl4 Zn2 Rh4'
_cell_length_a 6.6867
_cell_length_b 6.6867
_cell_length_c 4.1777
_cell_angle_alpha 90.00
_cell_angle_beta 90.00
_cell_angle_gamma 90.00
_symmetry_space_group_name_H-M 'P 4/m b m'
_symmetry_Int_Tables_number 127
_symmetry_space_group_name_Hall '-P 4 2ab'
loop_
_atom_site_label
_atom_site_fract_x
_atom_site_fract_y
_atom_site_fract_z
_atom_site_occupancy
Tl1 0.1635 0.3365 0.0000 1
Zn1 0.0000 0.0000 0.5000 1
Rh1 0.1471 0.6471 0.5000 1
```

- Total magnetization: 0.0 Bohr magnetons per cell
- ΔH_f (0 K): -46 meV per atom
- DFT total energy: -4.19 eV per atom

Entry 10:
Here is a geometry-optimized TlZn4Rh5 structure from the Alexandria database. Energies are from PBE-GGA.

```
data_TlZn4Rh5
_chemical_formula_sum 'Tl1 Zn4 Rh5'
_cell_length_a 3.0818
_cell_length_b 3.0818
_cell_length_c 15.4177
_cell_angle_alpha 90.00
_cell_angle_beta 90.00
_cell_angle_gamma 90.00
_symmetry_space_group_name_H-M 'P 4/m m m'
_symmetry_Int_Tables_number 123
_symmetry_space_group_name_Hall '-P 4 2'
loop_
_atom_site_label
_atom_site_fract_x
_atom_site_fract_y
_atom_site_fract_z
_atom_site_occupancy
Tl1 0.0000 0.0000 0.0000 1
Zn1 0.0000 0.0000 0.2143 1
Zn2 0.0000 0.0000 0.4046 1
Rh1 0.5000 0.5000 0.1165 1
Rh2 0.5000 0.5000 0.3088 1
Rh3 0.5000 0.5000 0.5000 1
```

- Total magnetization: 0.0 Bohr magnetons per cell
- ΔH_f (0 K): -278 meV per atom
- DFT total energy: -4.70 eV per atom

Entry 11:
Here is a geometry-optimized TlZn2Rh structure from the Alexandria database. Energies are from PBE-GGA.

```
data_TlZn2Rh
_chemical_formula_sum 'Tl3 Zn6 Rh3'
_cell_length_a 3.1355
_cell_length_b 3.1355
_cell_length_c 25.9883
_cell_angle_alpha 90.00
_cell_angle_beta 90.00
_cell_angle_gamma 120.00
_symmetry_space_group_name_H-M 'R -3 m'
_symmetry_Int_Tables_number 166
_symmetry_space_group_name_Hall '-R 3 2"'
loop_
_atom_site_label
_atom_site_fract_x
_atom_site_fract_y
_atom_site_fract_z
_atom_site_occupancy
Tl1 0.0000 0.0000 0.0000 1
Zn1 0.0000 0.0000 0.2374 1
Rh1 0.0000 0.0000 0.5000 1
```

- Total magnetization: 0.0 Bohr magnetons per cell
- ΔH_f (0 K): 56 meV per atom
- DFT total energy: -3.01 eV per atom

Entry 12:
Here is a geometry-optimized TlZn2Rh3 structure from the Alexandria database. Energies are from PBE-GGA.

```
data_TlZn2Rh3
_chemical_formula_sum 'Tl1 Zn2 Rh3'
_cell_length_a 3.1255
_cell_length_b 3.1255
_cell_length_c 9.3384
_cell_angle_alpha 90.00
_cell_angle_beta 90.00
_cell_angle_gamma 90.00
_symmetry_space_group_name_H-M 'P 4/m m m'
_symmetry_Int_Tables_number 123
_symmetry_space_group_name_Hall '-P 4 2'
loop_
_atom_site_label
_atom_site_fract_x
_atom_site_fract_y
_atom_site_fract_z
_atom_site_occupancy
Tl1 0.0000 0.0000 0.0000 1
Zn1 0.0000 0.0000 0.3465 1
Rh1 0.5000 0.5000 0.1874 1
Rh2 0.5000 0.5000 0.5000 1
```

- Total magnetization: 0.0 Bohr magnetons per cell
- ΔH_f (0 K): -215 meV per atom
- DFT total energy: -4.71 eV per atom